# GGA-PBE TbTmO, optimized geometry
data_TbTmO
_chemical_formula_sum 'Tb4 Tm4 O4'
_symmetry_space_group_name_H-M 'P 1'
_symmetry_Int_Tables_number 1
_symmetry_space_group_name_Hall 'P 1'
_cell_length_a 6.8182
_cell_length_b 6.0933
_cell_length_c 6.3828
_cell_angle_alpha 90.00
_cell_angle_beta 102.04
_cell_angle_gamma 90.00
loop_
_atom_site_label
_atom_site_fract_x
_atom_site_fract_y
_atom_site_fract_z
Tb1 0.0628 0.2467 0.3945
Tb2 0.0628 0.2533 0.8945
Tb3 0.9372 0.7467 0.1055
Tb4 0.9372 0.7533 0.6055
Tm1 0.4338 0.5552 0.2360
Tm2 0.4338 0.9448 0.7360
Tm3 0.5662 0.0552 0.2640
Tm4 0.5662 0.4448 0.7640
O1 0.4200 0.2494 0.9801
O2 0.4200 0.2506 0.4801
O3 0.5800 0.7494 0.5199
O4 0.5800 0.7506 0.0199
# - excess energy over the best structure of this formula in the dataset (eV/atom) = 0.000
# - symmetry = No. 14
# - crystal system = monoclinic

# GGA-PBE LiCdIn2I, optimized geometry
data_LiCdIn2I
_chemical_formula_sum 'Li1 Cd1 In2 I1'
_symmetry_space_group_name_H-M 'P 1'
_symmetry_Int_Tables_number 1
_symmetry_space_group_name_Hall 'P 1'
_cell_length_a 6.4169
_cell_length_b 6.4169
_cell_length_c 4.9262
_cell_angle_alpha 90.00
_cell_angle_beta 90.00
_cell_angle_gamma 90.00
loop_
_atom_site_label
_atom_site_fract_x
_atom_site_fract_y
_atom_site_fract_z
Li1 0.0000 0.0000 0.0000
Cd1 0.5000 0.5000 0.0000
In1 0.0000 0.5000 0.5000
In2 0.5000 0.0000 0.5000
I1 0.0000 0.0000 0.5000
# - calculated total energy (eV/atom) = -1.7893
# - symmetry = No. 123
# - crystal system = tetragonal

# GGA-PBE LaSm2ReN4, optimized geometry
data_LaSm2ReN4
_chemical_formula_sum 'La2 Sm4 Re2 N8'
_symmetry_space_group_name_H-M 'P 1'
_symmetry_Int_Tables_number 1
_symmetry_space_group_name_Hall 'P 1'
_cell_length_a 6.2708
_cell_length_b 6.2708
_cell_length_c 11.9467
_cell_angle_alpha 90.00
_cell_angle_beta 90.00
_cell_angle_gamma 147.16
loop_
_atom_site_label
_atom_site_fract_x
_atom_site_fract_y
_atom_site_fract_z
La1 0.1142 0.8858 0.7500
La2 0.8858 0.1142 0.2500
Sm1 0.3684 0.6316 0.5397
Sm2 0.3684 0.6316 0.9603
Sm3 0.6316 0.3684 0.0397
Sm4 0.6316 0.3684 0.4603
Re1 0.1502 0.8498 0.2500
Re2 0.8498 0.1502 0.7500
N1 0.0000 0.0000 0.0000
N2 0.0000 0.0000 0.5000
N3 0.2655 0.7345 0.1315
N4 0.2655 0.7345 0.3685
N5 0.4272 0.5728 0.7500
N6 0.5728 0.4272 0.2500
N7 0.7345 0.2655 0.6315
N8 0.7345 0.2655 0.8685
# - calculated total energy (eV/atom) = -8.4734
# - symmetry = No. 63
# - crystal system = orthorhombic

# GGA-PBE ThRe2O8, optimized geometry
data_ThRe2O8
_chemical_formula_sum 'Th1 Re2 O8'
_symmetry_space_group_name_H-M 'P 1'
_symmetry_Int_Tables_number 1
_symmetry_space_group_name_Hall 'P 1'
_cell_length_a 6.3264
_cell_length_b 6.3264
_cell_length_c 5.8398
_cell_angle_alpha 92.81
_cell_angle_beta 92.81
_cell_angle_gamma 62.26
loop_
_atom_site_label
_atom_site_fract_x
_atom_site_fract_y
_atom_site_fract_z
Th1 0.0000 0.0000 0.0000
Re1 0.2075 0.2075 0.6018
Re2 0.7925 0.7925 0.3982
O1 0.0651 0.6860 0.2247
O2 0.1532 0.1532 0.3058
O3 0.3140 0.9349 0.7753
O4 0.3638 0.3638 0.6750
O5 0.6362 0.6362 0.3250
O6 0.6860 0.0651 0.2247
O7 0.8468 0.8468 0.6942
O8 0.9349 0.3140 0.7753
# - calculated total energy (eV/atom) = -8.4633
# - symmetry = No. 12
# - crystal system = monoclinic

# GGA-PBE Na2ZrSiO5, optimized geometry
data_Na2ZrSiO5
_chemical_formula_sum 'Na16 Zr8 Si8 O40'
_symmetry_space_group_name_H-M 'P 1'
_symmetry_Int_Tables_number 1
_symmetry_space_group_name_Hall 'P 1'
_cell_length_a 14.0303
_cell_length_b 5.5349
_cell_length_c 13.8629
_cell_angle_alpha 90.00
_cell_angle_beta 119.32
_cell_angle_gamma 90.00
loop_
_atom_site_label
_atom_site_fract_x
_atom_site_fract_y
_atom_site_fract_z
Na1 0.0763 0.2345 0.1460
Na2 0.0763 0.2655 0.6460
Na3 0.1797 0.7391 0.8283
Na4 0.1797 0.7609 0.3283
Na5 0.3194 0.2444 0.1491
Na6 0.3194 0.2556 0.6491
Na7 0.4215 0.7351 0.0683
Na8 0.4215 0.7649 0.5683
Na9 0.5785 0.2351 0.4317
Na10 0.5785 0.2649 0.9317
Na11 0.6806 0.7444 0.3509
Na12 0.6806 0.7556 0.8509
Na13 0.8203 0.2391 0.6717
Na14 0.8203 0.2609 0.1717
Na15 0.9237 0.7345 0.3540
Na16 0.9237 0.7655 0.8540
Zr1 0.0654 0.2363 0.8726
Zr2 0.0654 0.2637 0.3726
Zr3 0.4346 0.7383 0.8070
Zr4 0.4346 0.7617 0.3070
Zr5 0.5654 0.2383 0.6930
Zr6 0.5654 0.2617 0.1930
Zr7 0.9346 0.7363 0.6274
Zr8 0.9346 0.7637 0.1274
Si1 0.1590 0.7206 0.0672
Si2 0.1590 0.7794 0.5672
Si3 0.3406 0.2236 0.9087
Si4 0.3406 0.2764 0.4087
Si5 0.6594 0.7236 0.5913
Si6 0.6594 0.7764 0.0913
Si7 0.8410 0.2206 0.4328
Si8 0.8410 0.2794 0.9328
O1 0.0016 0.5248 0.7696
O2 0.0016 0.9752 0.2696
O3 0.0892 0.7007 0.6294
O4 0.0892 0.7993 0.1294
O5 0.1234 0.6009 0.4605
O6 0.1234 0.8991 0.9605
O7 0.1353 0.0677 0.5298
O8 0.1353 0.4323 0.0298
O9 0.2098 0.2220 0.3619
O10 0.2098 0.2780 0.8619
O11 0.2911 0.7502 0.1509
O12 0.2911 0.7498 0.6509
O13 0.3577 0.5655 0.3890
O14 0.3577 0.9345 0.8890
O15 0.3823 0.0991 0.3423
O16 0.3823 0.4009 0.8423
O17 0.4111 0.2138 0.5418
O18 0.4111 0.2862 0.0418
O19 0.4930 0.0323 0.7648
O20 0.4930 0.4677 0.2648
O21 0.5070 0.5323 0.7352
O22 0.5070 0.9677 0.2352
O23 0.5889 0.7138 0.9582
O24 0.5889 0.7862 0.4582
O25 0.6177 0.5991 0.1577
O26 0.6177 0.9009 0.6577
O27 0.6423 0.0655 0.1110
O28 0.6423 0.4345 0.6110
O29 0.7089 0.2502 0.3491
O30 0.7089 0.2498 0.8491
O31 0.7902 0.7220 0.1381
O32 0.7902 0.7780 0.6381
O33 0.8647 0.5677 0.9702
O34 0.8647 0.9323 0.4702
O35 0.8766 0.1009 0.0395
O36 0.8766 0.3991 0.5395
O37 0.9108 0.2007 0.8706
O38 0.9108 0.2993 0.3706
O39 0.9984 0.0248 0.7304
O40 0.9984 0.4752 0.2304
# - calculated total energy (eV/atom) = -7.2924
# - symmetry = No. 14
# - crystal system = monoclinic

# GGA-PBE Pm2HoInC, optimized geometry
data_Pm2HoInC
_chemical_formula_sum 'Pm2 Ho1 In1 C1'
_symmetry_space_group_name_H-M 'P 1'
_symmetry_Int_Tables_number 1
_symmetry_space_group_name_Hall 'P 1'
_cell_length_a 5.0938
_cell_length_b 5.0938
_cell_length_c 4.9021
_cell_angle_alpha 90.00
_cell_angle_beta 90.00
_cell_angle_gamma 90.00
loop_
_atom_site_label
_atom_site_fract_x
_atom_site_fract_y
_atom_site_fract_z
Pm1 0.0000 0.5000 0.0000
Pm2 0.5000 0.0000 0.0000
Ho1 0.0000 0.0000 0.5000
In1 0.5000 0.5000 0.5000
C1 0.0000 0.0000 0.0000
# - E_form (meV per atom) = -405.5
# - symmetry = No. 123
# - crystal system = tetragonal

Calculated spin magnetization in order - 0.00 0.00 0.00 0.00 0.00 0.00 μB per formula unit